[1]
{"formula": "Cu2SeCl", "functional": "PBE-GGA", "state": "optimized geometry", "space_group": "I-4m2, No. 119", "de_polymorph_ev_per_atom": 0.235, "lattice_angstrom": [[-0.041, 3.805, -6.731], [-0.410, -0.925, -7.666], [-2.184, -1.274, 7.307]], "species": ["Cu", "Cu", "Se", "Cl"], "fractional_positions": [[0.000, 0.000, 0.000], [0.250, 0.750, 0.500], [0.500, 0.500, 0.000], [0.750, 0.250, 0.500]]}


[2]
{"formula": "Cu2SeCl", "functional": "PBE-GGA", "state": "optimized geometry", "space_group": "Pmm2, No. 25", "de_polymorph_ev_per_atom": 0.103, "lattice_angstrom": [[-1.252, 2.573, 1.877], [-2.826, -0.063, -1.799], [-2.707, -4.534, 4.410]], "species": ["Se", "Cl", "Cu", "Cu"], "fractional_positions": [[0.000, 0.000, 0.362], [0.500, 0.500, 0.868], [0.000, 0.000, 0.020], [0.500, 0.500, 0.249]]}


[3]
{"formula": "Cu2Se2Cl", "functional": "PBE-GGA", "state": "optimized geometry", "space_group": "P-1, No. 2", "de_polymorph_ev_per_atom": 0.000, "lattice_angstrom": [[-1.892, -5.163, -1.088], [3.573, -6.180, 0.292], [-2.852, -2.901, 6.094]], "species": ["Se", "Se", "Se", "Cl", "Cu", "Se", "Cl", "Cu", "Cu", "Cu"], "fractional_positions": [[0.616, 0.390, 0.218], [0.813, 0.887, 0.809], [0.384, 0.610, 0.782], [0.124, 0.266, 0.665], [0.343, 0.324, 0.972], [0.187, 0.113, 0.191], [0.876, 0.734, 0.335], [0.194, 0.593, 0.529], [0.657, 0.676, 0.028], [0.806, 0.407, 0.471]]}


[4]
{"formula": "Cu2SeCl", "functional": "PBE-GGA", "state": "optimized geometry", "space_group": "Pmmm, No. 47", "de_polymorph_ev_per_atom": 0.231, "lattice_angstrom": [[3.545, 0.000, 0.000], [0.000, 7.323, 0.000], [0.000, 0.000, 3.299]], "species": ["Cu", "Cl", "Cu", "Se"], "fractional_positions": [[0.500, 0.500, 0.000], [0.000, 0.500, 0.500], [0.000, 0.000, 0.000], [0.500, 0.000, 0.500]]}


[5]
{"formula": "Cu2SeCl", "functional": "PBE-GGA", "state": "optimized geometry", "space_group": "P1, No. 1", "de_polymorph_ev_per_atom": 0.056, "lattice_angstrom": [[3.141, 0.351, 1.217], [1.833, 3.247, 3.545], [0.555, -0.943, 8.053]], "species": ["Se", "Cl", "Cu", "Cu"], "fractional_positions": [[0.222, 0.534, 0.999], [0.305, 0.442, 0.500], [0.985, 0.055, 0.210], [0.988, 0.469, 0.791]]}


[6]
{"formula": "Cu2SeCl", "functional": "PBE-GGA", "state": "optimized geometry", "space_group": "I-42d, No. 122", "de_polymorph_ev_per_atom": 0.000, "lattice_angstrom": [[-0.110, -2.379, 4.974], [4.264, -3.191, -1.431], [5.552, 1.010, 3.663]], "species": ["Se", "Cl", "Cu", "Cu", "Cu", "Se", "Cl", "Cu"], "fractional_positions": [[0.000, 0.000, 0.000], [0.250, 0.750, 0.500], [0.637, 0.125, 0.250], [0.113, 0.625, 0.250], [0.875, 0.887, 0.750], [0.750, 0.250, 0.500], [0.500, 0.500, 0.000], [0.375, 0.363, 0.750]]}


[7]
{"formula": "Cu2SeCl", "functional": "PBE-GGA", "state": "optimized geometry", "space_group": "F-43m, No. 216", "de_polymorph_ev_per_atom": 0.815, "lattice_angstrom": [[-1.379, -4.340, 0.376], [-0.706, -2.507, -3.754], [2.862, -3.405, -1.044]], "species": ["Cl", "Cu", "Se", "Cu"], "fractional_positions": [[0.500, 0.500, 0.500], [0.250, 0.250, 0.250], [0.750, 0.750, 0.750], [0.000, 0.000, 0.000]]}


[8]
{"formula": "Cu2SeCl", "functional": "PBE-GGA", "state": "optimized geometry", "space_group": "Pm, No. 6", "de_polymorph_ev_per_atom": 0.015, "lattice_angstrom": [[3.799, 0.000, 0.000], [0.000, 3.742, -0.216], [0.000, 0.596, 6.313]], "species": ["Cl", "Se", "Cu", "Cu"], "fractional_positions": [[0.500, 0.888, 0.873], [0.000, 0.361, 0.363], [0.000, 0.876, 0.129], [0.500, 0.375, 0.134]]}


[9]
{"formula": "Cu2SeCl", "functional": "PBE-GGA", "state": "optimized geometry", "space_group": "P4/mmm, No. 123", "de_polymorph_ev_per_atom": 0.445, "lattice_angstrom": [[-2.908, 0.459, -0.482], [0.149, -2.918, -3.677], [-1.037, -3.608, 2.822]], "species": ["Cu", "Cl", "Se", "Cu"], "fractional_positions": [[0.000, 0.500, 0.500], [0.500, 0.000, 0.500], [0.500, 0.500, 0.000], [0.000, 0.000, 0.000]]}


[10]
{"formula": "CuSeCl", "functional": "PBE-GGA", "state": "optimized geometry", "space_group": "P3m1, No. 156", "lattice_angstrom": [[-0.376, 3.373, -0.141], [-2.603, -1.960, 0.958], [2.013, 0.496, 6.484]], "species": ["Se", "Cu", "Cl"], "fractional_positions": [[0.333, 0.667, 0.554], [0.667, 0.333, 0.327], [0.000, 0.000, 0.119]]}


[11]
{"formula": "CuSe2Cl2", "functional": "PBE-GGA", "state": "optimized geometry", "space_group": "C2/m, No. 12", "de_polymorph_ev_per_atom": 0.000, "lattice_angstrom": [[7.021, 0.334, 1.020], [-3.543, 5.197, -2.234], [0.391, -0.591, 3.396]], "species": ["Cu", "Se", "Se", "Cl", "Cl"], "fractional_positions": [[0.000, 0.000, 0.000], [0.623, 0.144, 0.332], [0.377, 0.856, 0.668], [0.840, 0.682, 0.261], [0.160, 0.318, 0.739]]}


[12]
{"formula": "Cu2SeCl", "functional": "PBE-GGA", "state": "optimized geometry", "space_group": "Cmmm, No. 65", "de_polymorph_ev_per_atom": 0.211, "lattice_angstrom": [[4.428, -0.333, 0.000], [-2.979, 3.293, 0.000], [0.000, 0.000, 7.067]], "species": ["Cl", "Cu", "Cu", "Se"], "fractional_positions": [[0.500, 0.500, 0.750], [0.000, 0.000, 0.005], [0.000, 0.000, 0.495], [0.500, 0.500, 0.250]]}


[13]
{"formula": "Cu3SeCl", "functional": "PBE-GGA", "state": "optimized geometry", "space_group": "Pm-3m, No. 221", "de_polymorph_ev_per_atom": 0.000, "lattice_angstrom": [[4.623, 0.000, 0.000], [0.000, 4.623, 0.000], [0.000, 0.000, 4.623]], "species": ["Cu", "Se", "Cu", "Cl", "Cu"], "fractional_positions": [[0.500, 0.000, 0.000], [0.000, 0.000, 0.000], [0.000, 0.000, 0.500], [0.500, 0.500, 0.500], [0.000, 0.500, 0.000]]}


[14]
{"formula": "Cu2Se2Cl", "functional": "PBE-GGA", "state": "optimized geometry", "space_group": "I4/mmm, No. 139", "de_polymorph_ev_per_atom": 0.152, "lattice_angstrom": [[-2.355, 2.355, 4.294], [2.355, -2.355, 4.294], [2.355, 2.355, -4.294]], "species": ["Se", "Se", "Cl", "Cu", "Cu"], "fractional_positions": [[0.644, 0.644, 0.000], [0.356, 0.356, 0.000], [0.000, 0.000, 0.000], [0.750, 0.250, 0.500], [0.250, 0.750, 0.500]]}


[15]
{"formula": "Cu3Se2Cl2", "functional": "PBE-GGA", "state": "optimized geometry", "space_group": "P-1, No. 2", "lattice_angstrom": [[3.848, 0.186, -0.536], [-0.606, 5.680, -1.933], [0.770, -0.063, 6.538]], "species": ["Cl", "Se", "Cu", "Cl", "Cu", "Cu", "Se"], "fractional_positions": [[0.491, 0.712, 0.293], [0.008, 0.184, 0.149], [0.516, 0.132, 0.335], [0.509, 0.288, 0.707], [0.000, 0.500, 0.000], [0.484, 0.868, 0.665], [0.992, 0.816, 0.851]]}


[16]
{"formula": "CuSeCl", "functional": "PBE-GGA", "state": "optimized geometry", "space_group": "F-43m, No. 216", "lattice_angstrom": [[-1.827, 3.698, -1.518], [-3.508, -0.205, -2.639], [-3.939, 1.272, 1.477]], "species": ["Cu", "Se", "Cl"], "fractional_positions": [[0.250, 0.250, 0.250], [0.000, 0.000, 0.000], [0.500, 0.500, 0.500]]}


[17]
{"formula": "Cu2SeCl", "functional": "PBE-GGA", "state": "optimized geometry", "space_group": "Fm-3m, No. 225", "de_polymorph_ev_per_atom": 0.560, "lattice_angstrom": [[0.000, 3.217, 3.217], [3.217, 0.000, 3.217], [3.217, 3.217, 0.000]], "species": ["Cu", "Cu", "Cl", "Se"], "fractional_positions": [[0.250, 0.250, 0.250], [0.750, 0.750, 0.750], [0.000, 0.000, 0.000], [0.500, 0.500, 0.500]]}


[18]
{"formula": "Cu2SeCl", "functional": "PBE-GGA", "state": "optimized geometry", "space_group": "P4/mmm, No. 123", "de_polymorph_ev_per_atom": 0.399, "lattice_angstrom": [[-2.239, 1.723, 1.498], [-1.079, -2.647, 1.433], [4.176, 1.032, 5.053]], "species": ["Cu", "Cl", "Se", "Cu"], "fractional_positions": [[0.000, 0.000, 0.463], [0.500, 0.500, 0.750], [0.500, 0.500, 0.250], [0.000, 0.000, 0.037]]}


[19]
{"formula": "Cu4SeCl3", "functional": "PBE-GGA", "state": "optimized geometry", "space_group": "Pmn2_1, No. 31", "lattice_angstrom": [[6.402, 0.000, 0.000], [0.000, 6.710, 0.000], [0.000, 0.000, 7.655]], "species": ["Cl", "Cl", "Cu", "Cl", "Cl", "Cu", "Cl", "Cl", "Se", "Cu", "Se", "Cu", "Cu", "Cu", "Cu", "Cu"], "fractional_positions": [[0.499, 0.340, 0.248], [0.999, 0.660, 0.252], [0.628, 0.672, 0.258], [0.999, 0.660, 0.748], [0.499, 0.340, 0.752], [0.625, 0.167, 0.500], [0.998, 0.175, 0.500], [0.498, 0.825, 0.000], [0.000, 0.158, 0.000], [0.128, 0.328, 0.242], [0.500, 0.842, 0.500], [0.128, 0.328, 0.758], [0.628, 0.672, 0.742], [0.638, 0.159, 0.000], [0.138, 0.841, 0.500], [0.125, 0.833, 0.000]]}


[20]
{"formula": "CuSeCl6", "functional": "PBE-GGA", "state": "optimized geometry", "space_group": "P-1, No. 2", "lattice_angstrom": [[-4.642, 4.161, 0.484], [-5.227, -0.741, -3.387], [-5.550, -1.826, 3.138]], "species": ["Cl", "Cl", "Cl", "Cl", "Se", "Cl", "Cu", "Cl"], "fractional_positions": [[0.613, 0.248, 0.251], [0.114, 0.389, 0.747], [0.249, 0.887, 0.252], [0.387, 0.752, 0.749], [0.000, 0.000, 0.000], [0.886, 0.611, 0.253], [0.500, 0.500, 0.500], [0.751, 0.113, 0.748]]}


[21]
{"formula": "Cu3Se2Cl", "functional": "PBE-GGA", "state": "optimized geometry", "space_group": "Cc, No. 9", "de_polymorph_ev_per_atom": 0.000, "lattice_angstrom": [[6.680, -0.001, -1.141], [-3.623, 5.613, -1.141], [-0.006, -0.011, 6.684]], "species": ["Cu", "Se", "Cl", "Se", "Cl", "Cu", "Se", "Cu", "Se", "Cu", "Cu", "Cu"], "fractional_positions": [[0.713, 0.537, 0.380], [0.258, 0.764, 0.009], [0.092, 0.928, 0.506], [0.434, 0.593, 0.507], [0.928, 0.092, 0.006], [0.883, 0.396, 0.884], [0.764, 0.258, 0.509], [0.060, 0.236, 0.385], [0.593, 0.434, 0.007], [0.537, 0.713, 0.880], [0.236, 0.060, 0.885], [0.396, 0.883, 0.384]]}


[22]
{"formula": "Cu2SeCl", "functional": "PBE-GGA", "state": "optimized geometry", "space_group": "R3m, No. 160", "de_polymorph_ev_per_atom": 0.147, "lattice_angstrom": [[3.588, 0.000, 0.000], [1.794, 3.108, 0.000], [1.794, 1.036, 6.509]], "species": ["Cu", "Cu", "Se", "Cl"], "fractional_positions": [[0.079, 0.079, 0.764], [0.267, 0.267, 0.198], [0.667, 0.667, 0.999], [0.487, 0.487, 0.539]]}


[23]
{"formula": "Cu2SeCl", "functional": "PBE-GGA", "state": "optimized geometry", "space_group": "R3m, No. 160", "de_polymorph_ev_per_atom": 0.100, "lattice_angstrom": [[-1.571, -5.496, -5.072], [2.104, -5.403, -4.978], [0.245, -7.252, -2.398]], "species": ["Cl", "Cu", "Cu", "Se"], "fractional_positions": [[0.708, 0.708, 0.708], [0.992, 0.992, 0.992], [0.256, 0.256, 0.256], [0.544, 0.544, 0.544]]}


[24]
{"formula": "Cu2SeCl", "functional": "PBE-GGA", "state": "optimized geometry", "space_group": "C2/m, No. 12", "de_polymorph_ev_per_atom": 0.075, "lattice_angstrom": [[-0.859, -0.121, -3.820], [-1.015, -3.089, -2.185], [-6.821, -0.602, -1.744]], "species": ["Se", "Cu", "Cu", "Cl"], "fractional_positions": [[0.750, 0.750, 0.750], [0.545, 0.545, 0.544], [0.955, 0.955, 0.956], [0.250, 0.250, 0.250]]}


[25]
{"formula": "CuSeCl", "functional": "PBE-GGA", "state": "optimized geometry", "space_group": "Fmm2, No. 42", "lattice_angstrom": [[7.763, -0.557, 0.311], [5.920, 3.399, -0.065], [1.843, -2.396, 3.170]], "species": ["Se", "Cu", "Cl"], "fractional_positions": [[0.709, 0.709, 0.291], [0.336, 0.336, 0.664], [0.955, 0.955, 0.045]]}


[26]
{"formula": "Cu3Se2Cl", "functional": "PBE-GGA", "state": "optimized geometry", "space_group": "Imm2, No. 44", "de_polymorph_ev_per_atom": 0.004, "lattice_angstrom": [[3.852, 0.000, 0.000], [0.000, 5.610, 0.000], [-1.926, -2.805, 5.802]], "species": ["Cu", "Cu", "Se", "Se", "Cl", "Cu"], "fractional_positions": [[0.000, 0.992, 0.000], [0.324, 0.328, 0.648], [0.835, 0.581, 0.671], [0.165, 0.910, 0.329], [0.500, 0.251, 0.000], [0.676, 0.680, 0.352]]}


[27]
{"formula": "Sm4CuSe2Cl", "functional": "PBE-GGA", "state": "optimized geometry", "space_group": "P2/m, No. 10", "lattice_angstrom": [[-3.328, 2.244, 0.211], [-3.712, -5.740, 2.480], [0.449, -0.015, 7.224]], "species": ["Sm", "Cl", "Se", "Se", "Sm", "Sm", "Sm", "Cu"], "fractional_positions": [[0.000, 0.248, 0.263], [0.500, 0.500, 0.000], [0.500, 0.000, 0.500], [0.000, 0.000, 0.000], [0.500, 0.738, 0.264], [0.500, 0.262, 0.736], [0.000, 0.752, 0.737], [0.000, 0.500, 0.500]]}


[28]
{"formula": "Cu2SnSeCl", "functional": "PBE-GGA", "state": "optimized geometry", "space_group": "P4/mmm, No. 123", "lattice_angstrom": [[-1.093, 3.183, 3.026], [-6.087, -1.363, -0.764], [0.269, -3.063, 3.320]], "species": ["Cu", "Se", "Sn", "Cu", "Cl"], "fractional_positions": [[0.000, 0.000, 0.500], [0.000, 0.000, 0.000], [0.000, 0.500, 0.000], [0.500, 0.000, 0.000], [0.500, 0.500, 0.500]]}


Across the entries above, raw formation energy takes the values -0.03; -0.16; -0.18; -0.03; -0.21; -0.26; 0.55; -0.25; 0.18; -0.14; -0.22; -0.05; 0.08; -0.03; -0.29; 0.32; 0.30; 0.14; -0.32; -0.25; -0.23; -0.11; -0.16; -0.19; -0.14; -0.22; -1.31; 0.10 eV/atom, respectively.